This record from the Alexandria database describes Er3Pb5 after structural relaxation. The functional is GGA-PBE.

- ΔH_f (0 K) (eV/f.u.) = -2.64
- magnetization (μB per atom) = 0.000
- E_tot (eV/atom) = -4.359

Unit cell a=6.9441 b=6.9441 c=4.7287 alpha=90.00 beta=90.00 gamma=96.78
With the nearest neighbours (Å) after each atom.
Element x y z (fractional)
Er (0.0000, 0.0000, 0.0000)  8 Pb 3.16-3.47
Er (0.2791, 0.7209, 0.5000)  10 Pb 3.29-3.57
Er (0.7209, 0.2791, 0.5000)  10 Pb 3.29-3.57
Pb (0.0000, 0.5000, 0.0000)  6 Er 3.32-3.47, 6 Pb 3.47-3.52
Pb (0.2266, 0.2266, 0.5000)  4 Er 3.16-3.41, 6 Pb 3.46-3.52
Pb (0.5000, 0.0000, 0.0000)  6 Er 3.32-3.47, 6 Pb 3.47-3.52
Pb (0.5000, 0.5000, 0.0000)  4 Er 3.29, 8 Pb 3.46-3.47
Pb (0.7734, 0.7734, 0.5000)  4 Er 3.16-3.41, 6 Pb 3.46-3.52

=====

This record from the Alexandria database describes ErPb2 after structural relaxation. The functional is GGA-PBE.

- ΔH_f (0 K) (eV/f.u.) = 0.01
- magnetization (μB per atom) = 0.173
- E_tot (eV/atom) = -3.991

Unit cell a=6.4114 b=6.4114 c=6.4114 alpha=60.00 beta=60.00 gamma=60.00
With the nearest neighbours (Å) after each atom.
Element x y z (fractional)
Er (0.1250, 0.1250, 0.1250)  12 Pb 3.76, 4 Er 3.93
Er (0.8750, 0.8750, 0.8750)  12 Pb 3.76, 4 Er 3.93
Pb (0.0000, 0.5000, 0.5000)  6 Pb 3.21
Pb (0.5000, 0.0000, 0.5000)  6 Pb 3.21
Pb (0.5000, 0.5000, 0.0000)  6 Pb 3.21
Pb (0.5000, 0.5000, 0.5000)  6 Pb 3.21

=====

This record from the Alexandria database describes Er2Pb3 after structural relaxation. The functional is GGA-PBE.

- ΔH_f (0 K) (eV/f.u.) = -1.42
- magnetization (μB per atom) = 0.000
- E_tot (eV/atom) = -4.333
- relative energy among the computed polymorphs (meV per atom) = 63.8

Unit cell a=12.1702 b=4.3646 c=11.0834 alpha=90.00 beta=90.00 gamma=90.00
With the nearest neighbours (Å) after each atom.
Element x y z (fractional)
Er (0.0108, 0.2500, 0.2411)  7 Pb 3.08-3.43
Er (0.2243, 0.2500, 0.5799)  7 Pb 3.21-3.42
Er (0.2757, 0.7500, 0.0799)  7 Pb 3.21-3.42
Er (0.4892, 0.7500, 0.7411)  7 Pb 3.08-3.43
Er (0.5108, 0.2500, 0.2589)  7 Pb 3.08-3.43
Er (0.7243, 0.2500, 0.9201)  7 Pb 3.21-3.42
Er (0.7757, 0.7500, 0.4201)  7 Pb 3.21-3.42
Er (0.9892, 0.7500, 0.7589)  7 Pb 3.08-3.43
Pb (0.0778, 0.7500, 0.4379)  4 Er 3.19-3.23, 4 Pb 3.20-3.51
Pb (0.0969, 0.2500, 0.9461)  4 Pb 3.28-3.43, 5 Er 3.28-3.43
Pb (0.2406, 0.7500, 0.7911)  5 Er 3.08-3.23, 2 Pb 3.28
Pb (0.2594, 0.2500, 0.2911)  5 Er 3.08-3.23, 2 Pb 3.28
Pb (0.4031, 0.7500, 0.4461)  4 Pb 3.28-3.43, 5 Er 3.28-3.43
Pb (0.4222, 0.2500, 0.9379)  4 Er 3.19-3.23, 4 Pb 3.20-3.51
Pb (0.5778, 0.7500, 0.0621)  4 Er 3.19-3.23, 4 Pb 3.20-3.51
Pb (0.5969, 0.2500, 0.5539)  4 Pb 3.28-3.43, 5 Er 3.28-3.43
Pb (0.7406, 0.7500, 0.7089)  5 Er 3.08-3.23, 2 Pb 3.28
Pb (0.7594, 0.2500, 0.2089)  5 Er 3.08-3.23, 2 Pb 3.28
Pb (0.9031, 0.7500, 0.0539)  4 Pb 3.28-3.43, 5 Er 3.28-3.43
Pb (0.9222, 0.2500, 0.5621)  4 Er 3.19-3.23, 4 Pb 3.20-3.51

=====

This record from the Alexandria database describes ErPb5 after structural relaxation. The functional is GGA-PBE.

- ΔH_f (0 K) (eV/f.u.) = -0.75
- magnetization (μB per atom) = 0.000
- E_tot (eV/atom) = -3.976
- relative energy among the computed polymorphs (meV per atom) = 0.0

Unit cell a=8.2985 b=8.2985 c=4.6895 alpha=90.00 beta=90.00 gamma=146.23
With the nearest neighbours (Å) after each atom.
Element x y z (fractional)
Er (0.0000, 0.0000, 0.0000)  12 Pb 3.36-3.54
Pb (0.1666, 0.8334, 0.5000)  10 Pb 3.37-3.65, 2 Er 3.54
Pb (0.3425, 0.6575, 0.0000)  8 Pb 3.37-3.65, 2 Er 3.47
Pb (0.5000, 0.5000, 0.5000)  4 Er 3.36, 8 Pb 3.43-3.58
Pb (0.6575, 0.3425, 0.0000)  8 Pb 3.37-3.65, 2 Er 3.47
Pb (0.8334, 0.1666, 0.5000)  10 Pb 3.37-3.65, 2 Er 3.54

=====

This record from the Alexandria database describes Er2PdPb after structural relaxation. The functional is GGA-PBE.

- ΔH_f (0 K) (eV/f.u.) = -2.68
- magnetization (μB per atom) = 0.000
- E_tot (eV/atom) = -5.178

Unit cell a=3.5621 b=3.5621 c=7.6965 alpha=90.00 beta=90.00 gamma=90.00
With the nearest neighbours (Å) after each atom.
Element x y z (fractional)
Er (0.0000, 0.0000, 0.2159)  4 Pd 3.02, 1 Er 3.32, 4 Pb 3.34
Er (0.0000, 0.0000, 0.7841)  4 Pd 3.02, 1 Er 3.32, 4 Pb 3.34
Pd (0.5000, 0.5000, 0.0000)  8 Er 3.02
Pb (0.5000, 0.5000, 0.5000)  8 Er 3.34, 4 Pb 3.56

=====

This record from the Alexandria database describes ErPd5Pb after structural relaxation. The functional is GGA-PBE.

- ΔH_f (0 K) (eV/f.u.) = -2.92
- magnetization (μB per atom) = 0.000
- E_tot (eV/atom) = -5.308

Unit cell a=7.2717 b=7.2717 c=6.0047 alpha=114.32 beta=114.32 gamma=79.67
With the nearest neighbours (Å) after each atom.
Element x y z (fractional)
Er (0.1448, 0.8552, 0.7500)  6 Pd 2.70-2.94
Er (0.8552, 0.1448, 0.2500)  6 Pd 2.70-2.94
Pd (0.0005, 0.5005, 0.7431)  7 Pd 2.71-2.91, 2 Er 2.93-2.94
Pd (0.1880, 0.8120, 0.2500)  6 Pd 2.81-2.88, 3 Er 3.03-3.10
Pd (0.2308, 0.2520, 0.9914)  1 Er 2.70, 7 Pd 2.71-3.01, 2 Pb 2.86-2.87
Pd (0.2520, 0.2308, 0.4914)  1 Er 2.70, 7 Pd 2.71-3.01, 2 Pb 2.86-2.87
Pd (0.5005, 0.0005, 0.2431)  7 Pd 2.71-2.91, 2 Er 2.93-2.94
Pd (0.4995, 0.9995, 0.7569)  7 Pd 2.71-2.91, 2 Er 2.93-2.94
Pd (0.7480, 0.7692, 0.5086)  1 Er 2.70, 7 Pd 2.71-3.01, 2 Pb 2.86-2.87
Pd (0.7692, 0.7480, 0.0086)  1 Er 2.70, 7 Pd 2.71-3.01, 2 Pb 2.86-2.87
Pd (0.8120, 0.1880, 0.7500)  6 Pd 2.81-2.88, 3 Er 3.03-3.10
Pd (0.9995, 0.4995, 0.2569)  7 Pd 2.71-2.91, 2 Er 2.93-2.94
Pb (0.5000, 0.5000, 0.0000)  4 Pd 2.86-2.87, 2 Pb 3.00
Pb (0.5000, 0.5000, 0.5000)  4 Pd 2.86-2.87, 2 Pb 3.00

=====

This record from the Alexandria database describes Er2PdPb after structural relaxation. The functional is GGA-PBE.

- ΔH_f (0 K) (eV/f.u.) = -2.17
- magnetization (μB per atom) = 0.000
- E_tot (eV/atom) = -5.048

Unit cell a=8.6811 b=8.6811 c=8.6811 alpha=25.63 beta=25.63 gamma=25.63
With the nearest neighbours (Å) after each atom.
Element x y z (fractional)
Er (0.2346, 0.2346, 0.2346)  3 Pd 2.80
Er (0.7654, 0.7654, 0.7654)  3 Pd 2.80
Pd (0.5000, 0.5000, 0.5000)  6 Er 2.80
Pb (0.0000, 0.0000, 0.0000)  6 Er 3.34

=====

This record from the Alexandria database describes ErPd2Pb2 after structural relaxation. The functional is GGA-PBE.

- ΔH_f (0 K) (eV/f.u.) = -2.70
- magnetization (μB per atom) = 0.000
- E_tot (eV/atom) = -5.014

Unit cell a=4.8118 b=4.8818 c=9.9890 alpha=90.00 beta=90.00 gamma=90.00
With the nearest neighbours (Å) after each atom.
Element x y z (fractional)
Er (0.2496, 0.2500, 0.1719)  6 Pd 2.89-3.02
Er (0.7504, 0.7500, 0.8281)  6 Pd 2.89-3.02
Pd (0.2499, 0.7500, 0.3272)  6 Pb 2.89-3.02, 2 Er 2.89
Pd (0.2508, 0.7500, 0.9934)  4 Er 2.92-3.02, 4 Pb 2.92-2.97
Pd (0.7492, 0.2500, 0.0066)  4 Er 2.92-3.02, 4 Pb 2.92-2.97
Pd (0.7501, 0.2500, 0.6728)  6 Pb 2.89-3.02, 2 Er 2.89
Pb (0.2501, 0.2500, 0.5047)  4 Pd 2.93-3.02, 1 Pb 3.28
Pb (0.2499, 0.2500, 0.8334)  6 Pd 2.89-2.97
Pb (0.7501, 0.7500, 0.1666)  6 Pd 2.89-2.97
Pb (0.7499, 0.7500, 0.4953)  4 Pd 2.93-3.02, 1 Pb 3.28

=====

This record from the Alexandria database describes Er5PdPb2 after structural relaxation. The functional is GGA-PBE.

- ΔH_f (0 K) (eV/f.u.) = -4.29
- magnetization (μB per atom) = 0.000
- E_tot (eV/atom) = -4.964

Unit cell a=7.9422 b=12.2108 c=4.5629 alpha=90.00 beta=90.00 gamma=90.00
With the nearest neighbours (Å) after each atom.
Element x y z (fractional)
Er (0.0000, 0.0000, 0.0000)  4 Pb 3.15, 4 Er 3.49
Er (0.1510, 0.2924, 0.0000)  1 Pd 2.80
Er (0.1843, 0.5688, 0.5000)  2 Pd 2.84
Er (0.3157, 0.0688, 0.5000)  2 Pd 2.84
Er (0.3490, 0.7924, 0.0000)  1 Pd 2.80
Er (0.5000, 0.5000, 0.0000)  4 Pb 3.15, 4 Er 3.49
Er (0.6510, 0.2076, 0.0000)  1 Pd 2.80
Er (0.6843, 0.9312, 0.5000)  2 Pd 2.84
Er (0.8157, 0.4312, 0.5000)  2 Pd 2.84
Er (0.8490, 0.7076, 0.0000)  1 Pd 2.80
Pd (0.0000, 0.5000, 0.0000)  6 Er 2.80-2.84
Pd (0.5000, 0.0000, 0.0000)  6 Er 2.80-2.84
Pb (0.0696, 0.8279, 0.5000)  8 Er 3.15-3.31
Pb (0.4304, 0.3279, 0.5000)  8 Er 3.15-3.31
Pb (0.5696, 0.6721, 0.5000)  8 Er 3.15-3.31
Pb (0.9304, 0.1721, 0.5000)  8 Er 3.15-3.31

=====

This record from the Alexandria database describes Er7Pd2Pb2 after structural relaxation. The functional is GGA-PBE.

- ΔH_f (0 K) (eV/f.u.) = -3.95
- magnetization (μB per atom) = 0.000
- E_tot (eV/atom) = -4.881
- relative energy among the computed polymorphs (meV per atom) = 171.2

Unit cell a=6.8784 b=6.8784 c=7.0945 alpha=90.00 beta=90.00 gamma=105.83
With the nearest neighbours (Å) after each atom.
Element x y z (fractional)
Er (0.0000, 0.0000, 0.0000)  2 Pd 3.13
Er (0.0000, 0.5000, 0.2487)  2 Pd 2.75
Er (0.0000, 0.5000, 0.7513)  2 Pd 2.75
Er (0.5000, 0.0000, 0.2487)  2 Pd 2.75
Er (0.5000, 0.0000, 0.7513)  2 Pd 2.75
Er (0.5000, 0.5000, 0.2361)  2 Pd 2.89, 2 Pb 3.20
Er (0.5000, 0.5000, 0.7639)  2 Pd 2.89, 2 Pb 3.20
Pd (0.2851, 0.7149, 0.0000)  6 Er 2.75-2.89
Pd (0.7149, 0.2851, 0.0000)  6 Er 2.75-2.89
Pb (0.1873, 0.1873, 0.5000)  1 Pb 3.11, 6 Er 3.20-3.31
Pb (0.8127, 0.8127, 0.5000)  1 Pb 3.11, 6 Er 3.20-3.31

=====

This record from the Alexandria database describes ErPdPb after structural relaxation. The functional is GGA-PBE.

- ΔH_f (0 K) (eV/f.u.) = -2.14
- magnetization (μB per atom) = 0.000
- E_tot (eV/atom) = -5.201

Unit cell a=7.7862 b=7.7862 c=3.8849 alpha=90.00 beta=90.00 gamma=120.00
With the nearest neighbours (Å) after each atom.
Element x y z (fractional)
Er (0.0000, 0.5991, 0.0000)  5 Pd 3.07-3.12, 6 Pb 3.24-3.37
Er (0.4009, 0.4009, 0.0000)  5 Pd 3.07-3.12, 6 Pb 3.24-3.37
Er (0.5991, 0.0000, 0.0000)  5 Pd 3.07-3.12, 6 Pb 3.24-3.37
Pd (0.0000, 0.0000, 0.0000)  6 Pb 2.84, 3 Er 3.12
Pd (0.3333, 0.6667, 0.5000)  3 Pb 2.89, 6 Er 3.07
Pd (0.6667, 0.3333, 0.5000)  3 Pb 2.89, 6 Er 3.07
Pb (0.0000, 0.2666, 0.5000)  4 Pd 2.84-2.89
Pb (0.2666, 0.0000, 0.5000)  4 Pd 2.84-2.89
Pb (0.7334, 0.7334, 0.5000)  4 Pd 2.84-2.89

=====

This record from the Alexandria database describes ErPdPb after structural relaxation. The functional is GGA-PBE.

- ΔH_f (0 K) (eV/f.u.) = -1.64
- magnetization (μB per atom) = 0.000
- E_tot (eV/atom) = -5.036

Unit cell a=11.7441 b=11.7441 c=11.7441 alpha=162.18 beta=162.18 gamma=25.31
With the nearest neighbours (Å) after each atom.
Element x y z (fractional)
Er (0.1585, 0.1585, 0.0000)  5 Pd 2.88-2.89
Er (0.8415, 0.8415, 0.0000)  5 Pd 2.88-2.89
Pd (0.2848, 0.2848, 0.0000)  5 Er 2.88-2.89, 4 Pd 3.03
Pd (0.7152, 0.7152, 0.0000)  5 Er 2.88-2.89, 4 Pd 3.03
Pb (0.4317, 0.4317, 0.0000)  1 Pb 3.13, 4 Er 3.30, 1 Pd 3.37
Pb (0.5683, 0.5683, 0.0000)  1 Pb 3.13, 4 Er 3.30, 1 Pd 3.37

=====

Q: Which formula does entry 6 have?
A: ErPd5Pb

=====

Q: Look up the E_tot of the eleventh one.
A: -5.201 eV/atom

=====

Q: Look up the E_tot of the second one.
A: -3.991 eV/atom